Record 1
Density functional theory data (GGA-PBE) for crystalline UPa6Se12 at its relaxed geometry.

Unit cell a=8.2836 b=8.2836 c=8.2836 alpha=100.06 beta=100.06 gamma=100.06
Last column: nearest neighbours and their distance in Å.
Sites, in units of the cell vectors:
U  0.0000  0.0000  0.0000  6 Se 2.78
Pa  0.1348  0.3104  0.6346  7 Se 2.85-3.17
Pa  0.3104  0.6346  0.1348  7 Se 2.85-3.17
Pa  0.3654  0.8652  0.6896  7 Se 2.85-3.17
Pa  0.6346  0.1348  0.3104  7 Se 2.85-3.17
Pa  0.6896  0.3654  0.8652  7 Se 2.85-3.17
Pa  0.8652  0.6896  0.3654  7 Se 2.85-3.17
Se  0.0376  0.9319  0.6690  1 U 2.78, 2 Pa 2.85-2.89
Se  0.0681  0.3310  0.9624  1 U 2.78, 2 Pa 2.85-2.89
Se  0.1771  0.5656  0.4225  4 Pa 2.90-3.00
Se  0.3310  0.9624  0.0681  1 U 2.78, 2 Pa 2.85-2.89
Se  0.4225  0.1771  0.5656  4 Pa 2.90-3.00
Se  0.4344  0.5775  0.8229  4 Pa 2.90-3.00
Se  0.5656  0.4225  0.1771  4 Pa 2.90-3.00
Se  0.5775  0.8229  0.4344  4 Pa 2.90-3.00
Se  0.6690  0.0376  0.9319  1 U 2.78, 2 Pa 2.85-2.89
Se  0.8229  0.4344  0.5775  4 Pa 2.90-3.00
Se  0.9319  0.6690  0.0376  1 U 2.78, 2 Pa 2.85-2.89
Se  0.9624  0.0681  0.3310  1 U 2.78, 2 Pa 2.85-2.89

Properties
Raw formation energy: -118 kJ per mole of atoms
Crystal system: trigonal



Record 2
Density functional theory data (GGA-PBE) for crystalline BaNaLa3 at its relaxed geometry.

Unit cell a=6.0679 b=6.0679 c=6.0679 alpha=90.00 beta=90.00 gamma=90.00
Last column: nearest neighbours and their distance in Å.
Sites, in units of the cell vectors:
Ba  0.0000  0.0000  0.0000  12 La 4.29
Na  0.5000  0.5000  0.5000  6 La 3.03
La  0.0000  0.5000  0.5000  2 Na 3.03
La  0.5000  0.0000  0.5000  2 Na 3.03
La  0.5000  0.5000  0.0000  2 Na 3.03

Properties
Calculated formation energy: 13.210 kcal/mol of atoms
Crystal system: cubic
Distance to the lowest polymorph of the same formula: 0 meV/atom



Record 3
Density functional theory data (GGA-PBE) for crystalline PrAl2ZnAu4 at its relaxed geometry.

Unit cell a=9.4383 b=9.4383 c=9.4383 alpha=27.23 beta=27.23 gamma=27.23
Last column: nearest neighbours and their distance in Å.
Sites, in units of the cell vectors:
Pr  0.0000  0.0000  0.0000  6 Au 3.13
Al  0.2411  0.2411  0.2411  7 Au 2.66-2.92
Al  0.7589  0.7589  0.7589  7 Au 2.66-2.92
Zn  0.5000  0.5000  0.5000  8 Au 2.71-2.74
Au  0.1340  0.1340  0.1340  3 Zn 2.71, 4 Al 2.81-2.92
Au  0.3994  0.3994  0.3994  3 Al 2.66, 1 Zn 2.74
Au  0.6006  0.6006  0.6006  3 Al 2.66, 1 Zn 2.74
Au  0.8660  0.8660  0.8660  3 Zn 2.71, 4 Al 2.81-2.92

Properties
Calculated formation energy: -11.816 kcal/mol of atoms
Crystal system: trigonal



Record 4
Density functional theory data (GGA-PBE) for crystalline BaTbIn2 at its relaxed geometry.

Unit cell a=3.8961 b=3.8961 c=31.1968 alpha=90.00 beta=90.00 gamma=120.00
Last column: nearest neighbours and their distance in Å.
Sites, in units of the cell vectors:
Ba  0.0000  0.0000  0.0000  6 In 3.62, 6 Ba 3.90
Ba  0.3333  0.6667  0.6667  6 In 3.62, 6 Ba 3.90
Ba  0.6667  0.3333  0.3333  6 In 3.62, 6 Ba 3.90
Tb  0.0000  0.0000  0.5000  6 In 3.27
Tb  0.3333  0.6667  0.1667  6 In 3.27
Tb  0.6667  0.3333  0.8333  6 In 3.27
In  0.0000  0.0000  0.2426  3 Tb 3.27, 3 Ba 3.62
In  0.0000  0.0000  0.7574  3 Tb 3.27, 3 Ba 3.62
In  0.3333  0.6667  0.4241  3 Tb 3.27, 3 Ba 3.62
In  0.3333  0.6667  0.9092  3 Tb 3.27, 3 Ba 3.62
In  0.6667  0.3333  0.0908  3 Tb 3.27, 3 Ba 3.62
In  0.6667  0.3333  0.5759  3 Tb 3.27, 3 Ba 3.62

Properties
Calculated formation energy: -4.539 kcal/mol of atoms
Crystal system: trigonal



Record 5
Density functional theory data (GGA-PBE) for crystalline Ce12Ga6Re at its relaxed geometry.

Unit cell a=7.6317 b=7.6317 c=7.6317 alpha=88.98 beta=88.98 gamma=88.98
Last column: nearest neighbours and their distance in Å.
Sites, in units of the cell vectors:
Ce  0.0054  0.0811  0.7107  2 Ce 2.77
Ce  0.0811  0.7107  0.0054  2 Ce 2.77
Ce  0.1376  0.4385  0.3549  3 Ce 2.88-3.17, 1 Re 3.04, 2 Ga 3.15-3.20
Ce  0.2893  0.9946  0.9189  2 Ce 2.77
Ce  0.3549  0.1376  0.4385  3 Ce 2.88-3.17, 1 Re 3.04, 2 Ga 3.15-3.20
Ce  0.4385  0.3549  0.1376  3 Ce 2.88-3.17, 1 Re 3.04, 2 Ga 3.15-3.20
Ce  0.5615  0.6451  0.8624  3 Ce 2.88-3.17, 1 Re 3.04, 2 Ga 3.15-3.20
Ce  0.6451  0.8624  0.5615  3 Ce 2.88-3.17, 1 Re 3.04, 2 Ga 3.15-3.20
Ce  0.7107  0.0054  0.0811  2 Ce 2.77
Ce  0.8624  0.5615  0.6451  3 Ce 2.88-3.17, 1 Re 3.04, 2 Ga 3.15-3.20
Ce  0.9189  0.2893  0.9946  2 Ce 2.77
Ce  0.9946  0.9189  0.2893  2 Ce 2.77
Ga  0.2446  0.7473  0.5973  1 Re 2.79, 2 Ga 2.87
Ga  0.2527  0.4027  0.7554  1 Re 2.79, 2 Ga 2.87
Ga  0.4027  0.7554  0.2527  1 Re 2.79, 2 Ga 2.87
Ga  0.5973  0.2446  0.7473  1 Re 2.79, 2 Ga 2.87
Ga  0.7473  0.5973  0.2446  1 Re 2.79, 2 Ga 2.87
Ga  0.7554  0.2527  0.4027  1 Re 2.79, 2 Ga 2.87
Re  0.5000  0.5000  0.5000  6 Ga 2.79, 6 Ce 3.04

Properties
Calculated formation energy: -4.903 kcal/mol of atoms
Crystal system: trigonal



Record 6
Density functional theory data (GGA-PBE) for crystalline CaLaCdSi at its relaxed geometry.

Unit cell a=7.5117 b=7.5117 c=7.5117 alpha=90.00 beta=90.00 gamma=90.00
Last column: nearest neighbours and their distance in Å.
Sites, in units of the cell vectors:
Ca  0.0000  0.0000  0.0000  4 Cd 3.25, 4 Si 3.25
Ca  0.0000  0.5000  0.5000  4 Cd 3.25, 4 Si 3.25
Ca  0.5000  0.0000  0.5000  4 Cd 3.25, 4 Si 3.25
Ca  0.5000  0.5000  0.0000  4 Cd 3.25, 4 Si 3.25
La  0.0000  0.0000  0.5000  4 Cd 3.25, 4 Si 3.25
La  0.0000  0.5000  0.0000  4 Cd 3.25, 4 Si 3.25
La  0.5000  0.0000  0.0000  4 Cd 3.25, 4 Si 3.25
La  0.5000  0.5000  0.5000  4 Cd 3.25, 4 Si 3.25
Cd  0.2500  0.2500  0.7500  4 La 3.25, 4 Ca 3.25
Cd  0.2500  0.7500  0.2500  4 La 3.25, 4 Ca 3.25
Cd  0.7500  0.2500  0.2500  4 La 3.25, 4 Ca 3.25
Cd  0.7500  0.7500  0.7500  4 La 3.25, 4 Ca 3.25
Si  0.2500  0.2500  0.2500  4 La 3.25, 4 Ca 3.25
Si  0.2500  0.7500  0.7500  4 La 3.25, 4 Ca 3.25
Si  0.7500  0.2500  0.7500  4 La 3.25, 4 Ca 3.25
Si  0.7500  0.7500  0.2500  4 La 3.25, 4 Ca 3.25

Properties
Raw formation energy: -37 kJ per mole of atoms
Crystal system: cubic



Repeat the third record exactly.
Density functional theory data (GGA-PBE) for crystalline PrAl2ZnAu4 at its relaxed geometry.

Unit cell a=9.4383 b=9.4383 c=9.4383 alpha=27.23 beta=27.23 gamma=27.23
Last column: nearest neighbours and their distance in Å.
Sites, in units of the cell vectors:
Pr  0.0000  0.0000  0.0000  6 Au 3.13
Al  0.2411  0.2411  0.2411  7 Au 2.66-2.92
Al  0.7589  0.7589  0.7589  7 Au 2.66-2.92
Zn  0.5000  0.5000  0.5000  8 Au 2.71-2.74
Au  0.1340  0.1340  0.1340  3 Zn 2.71, 4 Al 2.81-2.92
Au  0.3994  0.3994  0.3994  3 Al 2.66, 1 Zn 2.74
Au  0.6006  0.6006  0.6006  3 Al 2.66, 1 Zn 2.74
Au  0.8660  0.8660  0.8660  3 Zn 2.71, 4 Al 2.81-2.92

Properties
Calculated formation energy: -11.816 kcal/mol of atoms
Crystal system: trigonal